Entry 1:
MnHg: optimized geometry, PBE.

a b c (Å): 3.1302 3.1302 13.3209
angles (deg): 90.00 90.00 120.00
Space group P3m1 (No. 156)
One atom of each set of equivalent atoms:
Mn 0.0000 0.0000 0.0000
Mn 0.0000 0.0000 0.3390
Mn 0.3333 0.6667 0.8745
Hg 0.0000 0.0000 0.7057
Hg 0.3333 0.6667 0.1709
Hg 0.3333 0.6667 0.5063

Computed properties:
energy above the lowest structure with this stoichiometry	0.0600	eV/atom
spin magnetization	3.817	μB/cell
DFT total energy	-4.35	eV/atom

=====

Entry 2:
MnHg: optimized geometry, PBE.

a b c (Å): 5.518 5.518 5.518
angles (deg): 90.00 90.00 90.00
Space group Fm-3m (No. 225)
One atom of each set of equivalent atoms:
Mn 0.000 0.000 0.000
Hg 0.000 0.000 0.500

Computed properties:
energy above the lowest structure with this stoichiometry	0.2668	eV/atom
spin magnetization	15.908	μB/cell
DFT total energy	-4.15	eV/atom

=====

Entry 3:
MnHg: optimized geometry, PBE.

a b c (Å): 10.515 3.086 4.859
angles (deg): 90.00 110.45 90.00
Space group C2/m (No. 12)
One atom of each set of equivalent atoms:
Mn 0.137 0.000 0.334
Hg 0.117 0.500 0.817

Computed properties:
energy above the lowest structure with this stoichiometry	0.0480	eV/atom
spin magnetization	15.232	μB/cell
DFT total energy	-4.36	eV/atom

=====

Entry 4:
MnHg: optimized geometry, PBE.

a b c (Å): 3.1093 3.1093 9.0191
angles (deg): 90.00 90.00 120.00
Space group P6_3/mmc (No. 194)
One atom of each set of equivalent atoms:
Mn 0.3333 0.6667 0.2500
Hg 0.0000 0.0000 0.0000

Computed properties:
energy above the lowest structure with this stoichiometry	0.0830	eV/atom
spin magnetization	7.627	μB/cell
DFT total energy	-4.33	eV/atom

=====

Entry 5:
Mn2Hg: optimized geometry, PBE.

a b c (Å): 6.317 6.317 6.317
angles (deg): 90.00 90.00 90.00
Space group Fm-3m (No. 225)
One atom of each set of equivalent atoms:
Mn 0.250 0.250 0.250
Hg 0.000 0.000 0.000

Computed properties:
spin magnetization	32.358	μB/cell
DFT total energy	-5.49	eV/atom

=====

Entry 6:
Mn2Hg: optimized geometry, PBE.

a b c (Å): 5.0479 5.0479 14.0786
angles (deg): 90.00 90.00 120.00
Space group R32 (No. 155, hexagonal axes)
One atom of each set of equivalent atoms:
Mn 0.0000 0.0000 0.0000
Mn 0.0000 0.3359 0.5000
Hg 0.0000 0.0000 0.3338

Computed properties:
spin magnetization	45.845	μB/cell
DFT total energy	-5.71	eV/atom

=====

Entry 7:
MnHg3: optimized geometry, PBE.

a b c (Å): 9.7038 9.7038 3.2597
angles (deg): 90.00 90.00 120.00
Space group R-3m (No. 166, hexagonal axes)
One atom of each set of equivalent atoms:
Mn 0.0000 0.0000 0.0000
Hg 0.0000 0.5000 0.0000

Computed properties:
spin magnetization	12.610	μB/cell
DFT total energy	-2.17	eV/atom

=====

Entry 8:
Mn4Hg3: optimized geometry, PBE.

a b c (Å): 2.995 2.995 27.518
angles (deg): 90.00 90.00 90.00
Space group I4/mmm (No. 139)
One atom of each set of equivalent atoms:
Mn 0.000 0.000 0.072
Mn 0.000 0.000 0.368
Hg 0.000 0.000 0.204
Hg 0.000 0.000 0.500

Computed properties:
energy above the lowest structure with this stoichiometry	0.0000	eV/atom
spin magnetization	28.233	μB/cell
DFT total energy	-5.02	eV/atom